PrSmAlTl: optimized geometry, PBE-GGA.

For the offset from the most stable computed form, the calculation gives 0.00 kJ/mol of atoms. Its density of states at the Fermi level is 0.569 states/eV per atom.

Cell lengths 3.775, 3.775, 7.798 Å; angles 90.00, 90.00, 90.00 degrees
Element x y z (fractional)
Pr 0.000 0.000 0.000
Sm 0.000 0.000 0.473
Al 0.500 0.500 0.243
Tl 0.500 0.500 0.728